This record from Alexandria describes crystalline Sr2Ni2N at its relaxed geometry. The functional is GGA-PBE.

- total moment (μB/atom) = 0.237
- energy (eV per atom) = -4.00
- formation energy (no corrections) (kJ/mol of atoms) = 63
- ΔE to the lowest computed polymorph (meV per atom) = 606
- crystal system = tetragonal

Lattice parameters (Å, degrees): 7.140 7.140 4.569 90.00 90.00 90.00
Positions (direct):
Sr 0.188 0.312 0.000
Sr 0.312 0.812 0.000
Sr 0.688 0.188 0.000
Sr 0.812 0.688 0.000
Ni 0.109 0.609 0.500
Ni 0.391 0.109 0.500
Ni 0.609 0.891 0.500
Ni 0.891 0.391 0.500
N 0.000 0.000 0.000
N 0.500 0.500 0.000